(1)
The following is a SCAN calculation of a PBEsol-optimized structure of TaMoRh, from Alexandria via LeMat-Bulk.

Values from the calculation:
**SG**: P3m1
**Formation energy**: -1 kJ per mole of atoms

abc: 2.729 4.434 4.434
angles: 120.00 90.00 90.00
Element x y z (fractional)
Mo: 0.024 0.000 0.000
Rh: 0.640 0.333 0.667
Ta: 0.336 0.667 0.333

(2)
The following is a SCAN calculation of a PBEsol-optimized structure of Ta2MoRh, from Alexandria via LeMat-Bulk.

Values from the calculation:
**SG**: C2/m
**Formation energy**: -4 kJ per mole of atoms

abc: 2.771 4.689 5.238
angles: 96.09 90.00 107.19
Element x y z (fractional)
Mo: 0.000 0.000 0.500
Rh: 0.500 0.000 0.000
Ta: 0.759 0.518 0.751
Ta: 0.241 0.482 0.249

(3)
The following is a SCAN calculation of a PBEsol-optimized structure of TaMo2Rh, from Alexandria via LeMat-Bulk.

Values from the calculation:
**SG**: P4/mmm
**Formation energy**: 2 kJ per mole of atoms

abc: 3.201 4.390 4.390
angles: 90.00 90.00 90.00
Element x y z (fractional)
Mo: 0.000 0.000 0.500
Mo: 0.000 0.500 0.000
Rh: 0.500 0.500 0.500
Ta: 0.500 0.000 0.000

(4)
The following is a SCAN calculation of a PBEsol-optimized structure of TaMo2Rh, from Alexandria via LeMat-Bulk.

Values from the calculation:
**SG**: Cmmm
**Formation energy**: -5 kJ per mole of atoms

abc: 2.715 2.715 8.551
angles: 90.00 90.00 102.22
Element x y z (fractional)
Mo: 0.000 0.000 0.266
Mo: 0.000 0.000 0.734
Rh: 0.500 0.500 0.500
Ta: 0.500 0.500 0.000